Density functional theory data (GGA-PBE) for crystalline NdTm2Tl2Zn2 at its relaxed geometry. Values from VASP.

The total magnetic moment is 0.00 μB per formula unit. The density of states at the Fermi level is 0.66 states/eV per atom. The value obtained for the formation energy is -0.164 eV/atom.

Structure (Quantum ESPRESSO input):
```
&SYSTEM
  ibrav = 0, nat = 7, ntyp = 4
/
ATOMIC_SPECIES
Nd 144.24 Nd.upf
Tm 168.93 Tm.upf
Tl 204.38 Tl.upf
Zn 65.41 Zn.upf
CELL_PARAMETERS angstrom
2.4100 1.3914 8.8379
-2.4100 1.3914 8.8379
0.0000 -2.7828 8.8379
ATOMIC_POSITIONS crystal
Nd 0.0000 0.0000 0.0000
Tm 0.1335 0.1335 0.1335
Tm 0.8665 0.8665 0.8665
Tl 0.2636 0.2636 0.2636
Tl 0.7364 0.7364 0.7364
Zn 0.4372 0.4372 0.4372
Zn 0.5628 0.5628 0.5628
```

***

Density functional theory data (GGA-PBE) for crystalline Nd2TlV at its relaxed geometry. Values from VASP.

The total magnetic moment is 3.03 μB per formula unit. The density of states at the Fermi level is 1.26 states/eV per atom. The value obtained for the formation energy is 0.532 eV/atom.

Structure (Quantum ESPRESSO input):
```
&SYSTEM
  ibrav = 0, nat = 4, ntyp = 3
/
ATOMIC_SPECIES
Nd 144.24 Nd.upf
Tl 204.38 Tl.upf
V 50.94 V.upf
CELL_PARAMETERS angstrom
1.7000 0.9815 11.3278
-1.7000 0.9815 11.3278
0.0000 -1.9630 11.3278
ATOMIC_POSITIONS crystal
Nd 0.0837 0.0837 0.0837
Nd 0.9163 0.9163 0.9163
Tl 0.5000 0.5000 0.5000
V 0.0000 0.0000 0.0000
```

***

Density functional theory data (GGA-PBE) for crystalline NdYTl at its relaxed geometry. Values from VASP.

The total magnetic moment is 0.00 μB per formula unit. The density of states at the Fermi level is 1.11 states/eV per atom. The distance to the lowest polymorph of the same formula comes out at 0.00 eV per formula unit. The value obtained for the formation energy is -0.286 eV/atom.

Structure (Quantum ESPRESSO input):
```
&SYSTEM
  ibrav = 0, nat = 6, ntyp = 3
/
ATOMIC_SPECIES
Nd 144.24 Nd.upf
Y 88.91 Y.upf
Tl 204.38 Tl.upf
CELL_PARAMETERS angstrom
5.5121 0.0000 0.0000
-2.7560 4.7736 0.0000
0.0000 0.0000 6.7877
ATOMIC_POSITIONS crystal
Nd 0.0000 0.0000 0.0000
Nd 0.0000 0.0000 0.5000
Y 0.3333 0.6667 0.2500
Y 0.6667 0.3333 0.7500
Tl 0.3333 0.6667 0.7500
Tl 0.6667 0.3333 0.2500
```